Below is a geometry-optimized Na12SrSn4 structure, with properties calculated at the PBE level.

## Properties
Raw total energy   -65.05 eV per cell
Calculated volume   1388 Å³/cell

Lattice parameters (Å, degrees): 11.154 11.154 11.154 90.00 90.00 90.00
Space group Im-3 (No. 204)
One atom of each set of equivalent atoms:
Na (0.000, 0.182, 0.330) (multiplicity 24)
Sr (0.000, 0.000, 0.000) (multiplicity 2)
Sn (0.250, 0.250, 0.250) (multiplicity 8)

=====

Below is a geometry-optimized NaSr2Sn9 structure, with properties calculated at the PBE level.

## Properties
Raw total energy   -44.13 eV per cell
Calculated volume   336 Å³/cell

Lattice parameters (Å, degrees): 4.813 4.813 14.514 90.00 90.00 90.00
Space group P4/mmm (No. 123)
One atom of each set of equivalent atoms:
Na (0.000, 0.000, 0.000) (multiplicity 1)
Sr (0.000, 0.000, 0.333) (multiplicity 2)
Sn (0.000, 0.500, 0.160) (multiplicity 4)
Sn (0.000, 0.500, 0.500) (multiplicity 2)
Sn (0.500, 0.500, 0.000) (multiplicity 1)
Sn (0.500, 0.500, 0.330) (multiplicity 2)

=====

Below is a geometry-optimized NaSr2Sn2 structure, with properties calculated at the PBE level.

## Properties
Raw total energy   -60.63 eV per cell
E above lowest polymorph   14 meV per atom
Calculated volume   690 Å³/cell

Lattice parameters (Å, degrees): 12.909 5.010 12.128 90.00 118.41 90.00
Space group C2/m (No. 12)
One atom of each set of equivalent atoms:
Na (0.217, 0.000, 0.368) (multiplicity 4)
Sr (0.001, 0.500, 0.678) (multiplicity 4)
Sr (0.181, 0.500, 0.100) (multiplicity 4)
Sn (0.024, 0.000, 0.890) (multiplicity 4)
Sn (0.125, 0.000, 0.577) (multiplicity 4)

=====

Below is a geometry-optimized NaSr6Sn3 structure, with properties calculated at the PBE level.

## Properties
Raw total energy   -111.13 eV per cell
Calculated volume   1747 Å³/cell

Lattice parameters (Å, degrees): 12.950 16.426 8.211 90.00 90.00 90.00
Space group Cmc2_1 (No. 36)
One atom of each set of equivalent atoms:
Na (0.000, 0.108, 0.000) (multiplicity 4)
Sr (0.000, 0.270, 0.352) (multiplicity 4)
Sr (0.000, 0.473, 0.775) (multiplicity 4)
Sr (0.177, 0.028, 0.310) (multiplicity 8)
Sr (0.179, 0.225, 0.748) (multiplicity 8)
Sn (0.000, 0.095, 0.590) (multiplicity 4)
Sn (0.182, 0.390, 0.511) (multiplicity 8)

=====

Below is a geometry-optimized NaSr2Sn6 structure, with properties calculated at the PBE level.

## Properties
Raw total energy   -31.99 eV per cell
Calculated volume   273 Å³/cell

Lattice parameters (Å, degrees): 6.9668 6.9668 6.4910 90.00 90.00 120.00
Space group P-3m1 (No. 164)
One atom of each set of equivalent atoms:
Na (0.0000, 0.0000, 0.0000) (multiplicity 1)
Sr (0.3333, 0.6667, 0.8356) (multiplicity 2)
Sn (0.1849, 0.3698, 0.3367) (multiplicity 6)

=====

Below is a geometry-optimized Na2SrSn6 structure, with properties calculated at the PBE level.

## Properties
Raw total energy   -61.00 eV per cell
E above lowest polymorph   0 meV per atom
Calculated volume   505 Å³/cell

Lattice parameters (Å, degrees): 8.570 9.365 6.351 90.00 97.70 90.00
Space group C2/m (No. 12)
One atom of each set of equivalent atoms:
Na (0.157, 0.000, 0.157) (multiplicity 4)
Sr (0.000, 0.500, 0.500) (multiplicity 2)
Sn (0.000, 0.331, 0.000) (multiplicity 4)
Sn (0.166, 0.166, 0.669) (multiplicity 8)

=====

Below is a geometry-optimized NaSr3Sn structure, with properties calculated at the PBE level.

## Properties
Raw total energy   -47.69 eV per cell
E above lowest polymorph   0 meV per atom
Calculated volume   785 Å³/cell

Lattice parameters (Å, degrees): 5.795 23.379 5.797 90.00 90.00 90.00
Space group Cmcm (No. 63)
One atom of each set of equivalent atoms:
Na (0.000, 0.161, 0.250) (multiplicity 4)
Sr (0.000, 0.069, 0.750) (multiplicity 4)
Sr (0.000, 0.250, 0.750) (multiplicity 4)
Sr (0.000, 0.429, 0.750) (multiplicity 4)
Sn (0.000, 0.337, 0.250) (multiplicity 4)

=====

Below is a geometry-optimized NaSrSn3 structure, with properties calculated at the PBE level.

## Properties
Raw total energy   -14.37 eV per cell
E above lowest polymorph   380 meV per atom
Calculated volume   164 Å³/cell

Lattice parameters (Å, degrees): 5.470 5.470 5.470 90.00 90.00 90.00
Space group Pm-3m (No. 221)
One atom of each set of equivalent atoms:
Na (0.000, 0.000, 0.000) (multiplicity 1)
Sr (0.500, 0.500, 0.500) (multiplicity 1)
Sn (0.000, 0.000, 0.500) (multiplicity 3)

=====

Below is a geometry-optimized Na4SrSn structure, with properties calculated at the PBE level.

## Properties
Raw total energy   -45.06 eV per cell
Calculated volume   774 Å³/cell

Lattice parameters (Å, degrees): 9.180 9.180 9.180 90.00 90.00 90.00
Space group F-43m (No. 216)
One atom of each set of equivalent atoms:
Na (0.124, 0.124, 0.124) (multiplicity 16)
Sr (0.000, 0.000, 0.500) (multiplicity 4)
Sn (0.250, 0.250, 0.750) (multiplicity 4)

=====

Below is a geometry-optimized NaSr3Sn12 structure, with properties calculated at the PBE level.

## Properties
Raw total energy   -59.34 eV per cell
Calculated volume   453 Å³/cell

Lattice parameters (Å, degrees): 4.823 4.823 19.466 90.00 90.00 90.00
Space group P4/mmm (No. 123)
One atom of each set of equivalent atoms:
Na (0.000, 0.000, 0.000) (multiplicity 1)
Sr (0.000, 0.000, 0.249) (multiplicity 2)
Sr (0.000, 0.000, 0.500) (multiplicity 1)
Sn (0.000, 0.500, 0.119) (multiplicity 4)
Sn (0.000, 0.500, 0.374) (multiplicity 4)
Sn (0.500, 0.500, 0.000) (multiplicity 1)
Sn (0.500, 0.500, 0.246) (multiplicity 2)
Sn (0.500, 0.500, 0.500) (multiplicity 1)

=====

Below is a geometry-optimized NaSr2Sn2 structure, with properties calculated at the PBE level.

## Properties
Raw total energy   -27.09 eV per cell
E above lowest polymorph   337 meV per atom
Calculated volume   398 Å³/cell

Lattice parameters (Å, degrees): 4.454 4.454 20.077 90.00 90.00 90.00
Space group I4/mmm (No. 139)
One atom of each set of equivalent atoms:
Na (0.000, 0.000, 0.000) (multiplicity 2)
Sr (0.000, 0.000, 0.382) (multiplicity 4)
Sn (0.000, 0.500, 0.250) (multiplicity 4)

=====

Below is a geometry-optimized NaSr2Sn structure, with properties calculated at the PBE level.

## Properties
Raw total energy   -24.14 eV per cell
Calculated volume   536 Å³/cell

Lattice parameters (Å, degrees): 3.9365 3.9365 39.9134 90.00 90.00 120.00
Space group R-3m (No. 166, hexagonal axes)
One atom of each set of equivalent atoms:
Na (0.0000, 0.0000, 0.0000) (multiplicity 3)
Sr (0.0000, 0.0000, 0.4170) (multiplicity 6)
Sn (0.0000, 0.0000, 0.5000) (multiplicity 3)